The following is a GGA-PBE calculation of crystalline RbLiHoF5 at its relaxed geometry, from the Alexandria database.

Summary:
Electronic total energy, eV/atom: -5.612
Uncorrected formation energy, meV per atom: -3510
Crystal system: monoclinic

Cell lengths 7.515, 10.152, 8.312 Å; angles 90.00, 113.54, 90.00 degrees
Space group C2/c (No. 15)
Asymmetric unit:
Rb (0.000, 0.162, 0.250) [4 per cell]
Li (0.000, 0.186, 0.750) [4 per cell]
Ho (0.000, 0.500, 0.000) [4 per cell]
F (0.000, 0.434, 0.250) [4 per cell]
F (0.088, 0.303, 0.608) [8 per cell]
F (0.200, 0.067, 0.901) [8 per cell]